Material: Cs2GaTePb
Method: DFT, GGA-PBE
State: optimized geometry

The crystal system is tetragonal. The uncorrected formation energy comes out at 0.2 kcal/mol of atoms.

It has space group P4/mmm (No. 123), with a = 7.392 Å, b = 7.392 Å, c = 5.304 Å, α = 90.00°, β = 90.00° and γ = 90.00°. The distinct sites, in fractional coordinates, are Cs at (0.000, 0.500, 0.000), Ga at (0.000, 0.000, 0.500), Te at (0.500, 0.500, 0.500) and Pb at (0.000, 0.000, 0.000).